USnP2: relaxed, GGA-PBE.

Cell: 3.6454 4.5522 4.5522 Å, 90.00 90.00 90.00°
Atoms (fractional coordinates):
Sn  0.5000  0.5000  0.5000
P  0.0000  0.0000  0.5000
P  0.0000  0.5000  0.0000
U  0.5000  0.0000  0.0000

DFT formation energy: -1.6 eV per formula unit
Energy relative to the lowest polymorph listed for this composition: 0 meV per atom
V: 18.89 Å³/atom

Ti3Tl3NiSe8: relaxed, GGA-PBE.

Cell: 7.3903 7.3906 9.0177 Å, 114.19 89.99 120.01°
Atoms (fractional coordinates):
Se  0.2230  0.4462  0.6794
Se  0.2667  0.0437  0.3208
Se  0.7333  0.9563  0.6792
Se  0.2232  0.9563  0.6794
Se  0.7770  0.5538  0.3206
Se  0.2704  0.5406  0.3109
Se  0.7768  0.0437  0.3206
Se  0.7296  0.4594  0.6891
Ti  0.5000  0.5000  0.5000
Ti  0.5000  0.0000  0.5000
Ti  0.0000  0.5000  0.5000
Ni  0.0000  0.0000  0.5000
Tl  0.0000  0.5000  0.0000
Tl  0.5000  0.5000  0.0000
Tl  0.0000  0.0000  0.0000

V: 25.05 Å³/atom
Uncorrected formation energy: -0.74 eV per atom

Ta2InRhSe: relaxed, GGA-PBE.

Cell: 4.9289 4.7101 4.9289 Å, 90.00 90.00 90.00°
Atoms (fractional coordinates):
Se  0.0000  0.5000  0.0000
Ta  0.5000  0.0000  0.0000
Ta  0.0000  0.0000  0.5000
In  0.5000  0.5000  0.5000
Rh  0.0000  0.0000  0.0000

V: 22.89 Å³/atom
Uncorrected formation energy: 0.98 eV per atom